Record 1
Ba2TcOs | the Alexandria database | GGA-PBE | optimized geometry; DFT formation energy = 0.58 eV/atom; mass density = 7.5 Mg/m³; E above lowest polymorph = 0.323 eV per atom; space-group type = No. 6; E = -23.11 eV for the cell shown
1.0
-1.6766 0.0491 3.6669
-2.5123 -1.8007 -1.1245
1.8555 -9.8251 0.9801
Ba Os Tc
2 1 1
direct
0.5000 0.3358 0.3406
0.0000 0.8972 0.9114
0.0000 0.4975 0.5897
0.5000 0.7695 0.6583

***

Record 2
BaTcOs2 | the Alexandria database | GGA-PBE | optimized geometry; DFT formation energy = 1.22 eV/atom; mass density = 13.6 Mg/m³; E above lowest polymorph = 0.755 eV per atom; space-group type = No. 71; E = -29.88 eV for the cell shown
1.0
-0.1810 3.9921 -4.4029
1.3473 -1.4573 -5.6050
-3.3665 -0.4892 4.8767
Os Tc Ba
2 1 1
direct
0.9669 0.9669 0.0000
0.5331 0.5331 0.0000
0.7500 0.2500 0.5000
0.2500 0.7500 0.5000

***

Record 3
BaTcOs2 | the Alexandria database | GGA-PBE | optimized geometry; DFT formation energy = 1.55 eV/atom; mass density = 13.6 Mg/m³; E above lowest polymorph = 1.088 eV per atom; space-group type = No. 225; E = -28.55 eV for the cell shown
1.0
-3.7956 -2.7280 0.7930
-2.9611 1.0337 3.5553
-4.3440 1.6518 -0.9372
Ba Os Tc
1 2 1
direct
0.5000 0.5000 0.5000
0.7500 0.7500 0.7500
0.2500 0.2500 0.2500
0.0000 0.0000 0.0000

***

Record 4
BaTc4Os | the Alexandria database | GGA-PBE | optimized geometry; DFT formation energy = 1.02 eV/atom; mass density = 11.1 Mg/m³; space-group type = No. 216; E = -48.49 eV for the cell shown
1.0
3.9176 -0.0553 3.6303
2.4333 4.5523 1.3728
-0.8135 2.1090 4.8394
Ba Tc Os
1 4 1
direct
0.7500 0.7500 0.7500
0.3740 0.3740 0.8779
0.8779 0.3740 0.3740
0.3740 0.3740 0.3740
0.3740 0.8779 0.3740
0.0000 0.0000 0.0000

***

Record 5
BaTcOs2 | the Alexandria database | GGA-PBE | optimized geometry; DFT formation energy = 0.87 eV/atom; mass density = 12.5 Mg/m³; E above lowest polymorph = 0.405 eV per atom; space-group type = No. 99; E = -31.28 eV for the cell shown
1.0
-2.3921 -0.2781 2.1254
1.4981 -2.4948 1.3596
3.7950 4.9603 4.9203
Os Ba Tc
2 1 1
direct
0.5000 0.5000 0.2569
0.0000 0.0000 0.0770
0.5000 0.5000 0.7551
0.0000 0.0000 0.4110

***

Record 6
BaTcOs2 | the Alexandria database | GGA-PBE | optimized geometry; DFT formation energy = 1.71 eV/atom; mass density = 13.6 Mg/m³; E above lowest polymorph = 1.253 eV per atom; space-group type = No. 123; E = -27.89 eV for the cell shown
1.0
-2.4864 2.8991 3.0333
0.6533 -2.5180 2.9421
3.3148 1.9062 0.8953
Tc Ba Os
1 1 2
direct
0.5000 0.5000 0.0000
0.5000 0.0000 0.5000
0.0000 0.0000 0.0000
0.0000 0.5000 0.5000

***

Record 7
BaTc3Os | the Alexandria database | GGA-PBE | optimized geometry; DFT formation energy = 3.60 eV/atom; mass density = 9.3 Mg/m³; E above lowest polymorph = 2.334 eV per atom; space-group type = No. 221; E = -26.23 eV for the cell shown
1.0
-1.9240 3.4995 -2.6703
-4.3441 -1.9806 0.5345
-0.7116 2.6287 3.9577
Tc Os Ba
3 1 1
direct
0.0000 0.5000 0.0000
0.5000 0.0000 0.0000
0.0000 0.0000 0.5000
0.5000 0.5000 0.5000
0.0000 0.0000 0.0000

***

Record 8
BaTcOs2 | the Alexandria database | GGA-PBE | optimized geometry; DFT formation energy = 0.46 eV/atom; mass density = 10.3 Mg/m³; E above lowest polymorph = 0.000 eV per atom; space-group type = No. 8; E = -32.90 eV for the cell shown
1.0
-4.3171 -0.0293 0.8289
-2.8878 -1.0650 -3.1388
-2.0032 -6.1088 0.8728
Os Ba Tc
2 1 1
direct
0.0593 0.0593 0.8154
0.7475 0.7475 0.7569
0.2520 0.2520 0.2468
0.4412 0.4412 0.6809

***

Record 9
BaTcOs2 | the Alexandria database | GGA-PBE | optimized geometry; DFT formation energy = 0.98 eV/atom; mass density = 13.8 Mg/m³; E above lowest polymorph = 0.514 eV per atom; space-group type = No. 166; E = -30.85 eV for the cell shown
1.0
10.3073 0.0111 0.0065
9.8963 2.8817 0.0065
9.8963 1.4170 2.5093
Os Ba Tc
2 1 1
direct
0.9850 0.9850 0.9850
0.5150 0.5150 0.5150
0.7500 0.7500 0.7500
0.2500 0.2500 0.2500

***

Record 10
Ba3TcOs | the Alexandria database | GGA-PBE | optimized geometry; DFT formation energy = 1.20 eV/atom; mass density = 5.7 Mg/m³; space-group type = No. 221; E = -21.37 eV for the cell shown
1.0
-1.1531 2.5911 5.1774
-5.7309 0.2389 -1.3959
-0.8222 -5.2989 2.4688
Ba Os Tc
3 1 1
direct
0.5000 0.0000 0.0000
0.0000 0.0000 0.5000
0.0000 0.5000 0.0000
0.0000 0.0000 0.0000
0.5000 0.5000 0.5000

***

Record 11
BaTcOs2 | the Alexandria database | GGA-PBE | optimized geometry; DFT formation energy = 1.48 eV/atom; mass density = 13.9 Mg/m³; E above lowest polymorph = 1.021 eV per atom; space-group type = No. 119; E = -28.82 eV for the cell shown
1.0
4.7841 -0.0077 0.0000
0.4358 4.7642 0.0000
-2.6099 -2.3783 3.2279
Os Ba Tc
2 1 1
direct
0.0000 0.0000 0.0000
0.2500 0.7500 0.5000
0.7500 0.2500 0.5000
0.5000 0.5000 0.0000

***

Record 12
Ba2TcOs | the Alexandria database | GGA-PBE | optimized geometry; DFT formation energy = 1.56 eV/atom; mass density = 8.7 Mg/m³; E above lowest polymorph = 1.301 eV per atom; space-group type = No. 166; E = -19.20 eV for the cell shown
1.0
-3.9013 -8.5634 -3.7556
-3.4349 -9.5241 -0.3865
-6.3558 -7.7764 -1.3375
Tc Ba Os
1 2 1
direct
0.7500 0.7500 0.7500
0.5040 0.5040 0.5040
0.9960 0.9960 0.9960
0.2500 0.2500 0.2500

***

> Number 7 is which compound?

BaTc3Os